Computed, not measured: an optimized crystal structure of Ca2ScGa3Pd4 at the PBE level of DFT.

Results
For the uncorrected energy, the calculation gives -47.726 eV per cell.

Lattice parameters (Å, degrees): 4.1946 4.1946 11.2821 90.00 90.00 90.00
Space group P-4m2 (No. 115)
Asymmetric unit:
1 Ca 0.0000 0.5000 0.2376 [2 per cell]
2 Sc 0.0000 0.0000 0.5000 [1 per cell]
3 Ga 0.0000 0.5000 0.8719 [2 per cell]
4 Ga 0.5000 0.5000 0.5000 [1 per cell]
5 Pd 0.0000 0.0000 0.0000 [1 per cell]
6 Pd 0.0000 0.5000 0.6488 [2 per cell]
7 Pd 0.5000 0.5000 0.0000 [1 per cell]